Entry from the Alexandria database: an optimized crystal structure of Mg2AgBi (PBE).

Properties
Final energy = -10.48 eV/cell
V = 23.08 Å³ per atom

Lattice parameters (Å, degrees): 3.3808 3.3808 8.0765 90.00 90.00 90.00
Closest atoms and distances in Å follow each position.
Space group P4/mmm (No. 123)
Inequivalent atoms, fractional coordinates:
Mg: 0.0000 0.0000 0.2001 x2  4 Ag 2.89
Ag: 0.5000 0.5000 0.0000 x1  8 Mg 2.89
Bi: 0.5000 0.5000 0.5000 x1  4 Bi 3.38, 8 Mg 3.40



Entry from the Alexandria database: an optimized crystal structure of Mg2AgBi (PBE).

Properties
Final energy = -30.31 eV/cell
V = 23.85 Å³ per atom

Lattice parameters (Å, degrees): 3.3825 3.3825 28.8803 90.00 90.00 120.00
Closest atoms and distances in Å follow each position.
Space group R3m (No. 160, hexagonal axes)
Inequivalent atoms, fractional coordinates:
Mg: 0.0000 0.0000 0.0000 x3  3 Ag 2.86
Mg: 0.0000 0.0000 0.1883 x3  3 Ag 2.87
Ag: 0.0000 0.0000 0.5943 x3  6 Mg 2.86-2.87
Bi: 0.0000 0.0000 0.4281 x3  6 Mg 3.33-3.36, 6 Bi 3.38



Entry from the Alexandria database: an optimized crystal structure of Mg3Ag2Bi (PBE).

Properties
Final energy = -15.41 eV/cell
V = 21.50 Å³ per atom

Lattice parameters (Å, degrees): 3.4000 3.4000 11.1616 90.00 90.00 90.00
Closest atoms and distances in Å follow each position.
Space group P4/mmm (No. 123)
Inequivalent atoms, fractional coordinates:
Mg: 0.0000 0.0000 0.0000 x1  8 Ag 2.89, 2 Mg 3.22
Mg: 0.0000 0.0000 0.2880 x2  4 Ag 2.90, 1 Mg 3.22
Ag: 0.5000 0.5000 0.1433 x2  8 Mg 2.89-2.90, 1 Ag 3.20
Bi: 0.5000 0.5000 0.5000 x1  8 Mg 3.37, 4 Bi 3.40



Entry from the Alexandria database: an optimized crystal structure of Mg2Ag2Bi (PBE).

Properties
V = 22.00 Å³ per atom
Relative energy among the computed polymorphs = 81 meV per atom

Lattice parameters (Å, degrees): 8.1992 8.1992 3.2729 90.00 90.00 90.00
Closest atoms and distances in Å follow each position.
Space group P4/mbm (No. 127)
Inequivalent atoms, fractional coordinates:
Mg: 0.1485 0.3515 0.0000 x4  6 Ag 2.88-2.95, 2 Bi 3.13
Ag: 0.1399 0.6399 0.5000 x4  6 Mg 2.88-2.95
Bi: 0.0000 0.0000 0.0000 x2  4 Mg 3.13, 2 Bi 3.27



Entry from the Alexandria database: an optimized crystal structure of Mg2Ag2Bi (PBE).

Properties
V = 22.75 Å³ per atom
Relative energy among the computed polymorphs = 145 meV per atom

Lattice parameters (Å, degrees): 4.2151 4.2151 12.8041 90.00 90.00 90.00
Closest atoms and distances in Å follow each position.
Space group I4/mmm (No. 139)
Inequivalent atoms, fractional coordinates:
Mg: 0.0000 0.5000 0.2500 x4  4 Ag 2.79, 4 Mg 2.98
Ag: 0.0000 0.0000 0.1078 x4  1 Ag 2.76, 4 Mg 2.79
Bi: 0.0000 0.0000 0.5000 x2  8 Ag 3.28



Entry from the Alexandria database: an optimized crystal structure of Mg3AgBi (PBE).

Properties
V = 26.77 Å³ per atom
Relative energy among the computed polymorphs = 235 meV per atom

Lattice parameters (Å, degrees): 5.1153 5.1153 5.1153 90.00 90.00 90.00
Closest atoms and distances in Å follow each position.
Space group Pm-3m (No. 221)
Inequivalent atoms, fractional coordinates:
Mg: 0.0000 0.0000 0.5000 x3  2 Ag 2.56
Ag: 0.0000 0.0000 0.0000 x1  6 Mg 2.56
Bi: 0.5000 0.5000 0.5000 x1  12 Mg 3.62



Entry from the Alexandria database: an optimized crystal structure of Mg2AgBi (PBE).

Properties
Final energy = -10.39 eV/cell
V = 22.81 Å³ per atom

Lattice parameters (Å, degrees): 4.6155 4.6155 4.2825 90.00 90.00 90.00
Closest atoms and distances in Å follow each position.
Space group P4/mmm (No. 123)
Inequivalent atoms, fractional coordinates:
Mg: 0.0000 0.5000 0.0000 x2  4 Bi 3.15, 4 Ag 3.15, 4 Mg 3.26
Ag: 0.0000 0.0000 0.5000 x1  8 Mg 3.15, 4 Bi 3.26
Bi: 0.5000 0.5000 0.5000 x1  8 Mg 3.15, 4 Ag 3.26



Entry from the Alexandria database: an optimized crystal structure of Mg5Ag4Bi (PBE).

Properties
Final energy = -25.31 eV/cell
V = 20.29 Å³ per atom

Lattice parameters (Å, degrees): 3.3935 3.3935 17.6212 90.00 90.00 90.00
Closest atoms and distances in Å follow each position.
Space group P4/mmm (No. 123)
Inequivalent atoms, fractional coordinates:
Mg: 0.0000 0.0000 0.0000 x1  8 Ag 2.90, 2 Mg 3.24
Mg: 0.0000 0.0000 0.1837 x2  8 Ag 2.89, 2 Mg 3.19-3.24
Mg: 0.0000 0.0000 0.3650 x2  4 Ag 2.87, 1 Mg 3.19
Ag: 0.5000 0.5000 0.0920 x2  8 Mg 2.89-2.90, 1 Ag 3.23
Ag: 0.5000 0.5000 0.2752 x2  8 Mg 2.87-2.89
Bi: 0.5000 0.5000 0.5000 x1  8 Mg 3.38, 4 Bi 3.39